(1)
Computed, not measured: crystalline OsAuBr2 at its relaxed geometry at the PBE level of DFT.

Unit cell a=3.6298 b=2.8998 c=9.6599 alpha=86.19 beta=90.00 gamma=90.00
With the nearest neighbours (Å) after each atom.
Positions (direct):
Os: 0.5000 0.2500 0.2500  4 Br 2.46
Au: 0.5000 0.7500 0.7500  2 Au 2.90
Br: 0.0000 0.2877 0.0776  2 Os 2.46
Br: 0.0000 0.2123 0.4224  2 Os 2.46

Values from the calculation:
**Formation energy without anion corrections**: 66.9 kJ per mole of atoms
**V**: 101 Å³/cell


(2)
Computed, not measured: crystalline AlZnSb2 at its relaxed geometry at the PBE level of DFT.

Unit cell a=4.2438 b=5.4336 c=3.9703 alpha=90.00 beta=90.00 gamma=90.00
With the nearest neighbours (Å) after each atom.
Positions (direct):
Sb: 0.0000 0.0000 0.0000  4 Zn 2.91
Sb: 0.5000 0.5000 0.0000  4 Al 2.91
Zn: 0.5000 0.0000 0.5000  4 Sb 2.91
Al: 0.0000 0.5000 0.5000  4 Sb 2.91

Values from the calculation:
**Formation energy without anion corrections**: 20.5 kJ per mole of atoms
**V**: 92 Å³/cell


(3)
Computed, not measured: crystalline TbPmHoEr2 at its relaxed geometry at the PBE level of DFT.

Unit cell a=7.1421 b=8.3535 c=7.0651 alpha=126.24 beta=90.00 gamma=90.00
With the nearest neighbours (Å) after each atom.
Positions (direct):
Tb: 0.2500 0.7245 0.4490  1 Pm 3.13, 4 Er 3.49
Tb: 0.7500 0.2755 0.5510  1 Pm 3.13, 4 Er 3.49
Pm: 0.2500 0.9994 0.9988  1 Tb 3.13, 4 Er 3.17, 1 Ho 3.17
Pm: 0.7500 0.0006 0.0012  1 Tb 3.13, 4 Er 3.17, 1 Ho 3.17
Ho: 0.7500 0.7228 0.4455  1 Pm 3.17, 4 Er 3.47
Ho: 0.2500 0.2772 0.5545  1 Pm 3.17, 4 Er 3.47
Er: 0.5000 0.3130 0.0000  1 Er 3.12, 2 Pm 3.17, 2 Ho 3.47, 2 Tb 3.49
Er: 0.0000 0.6870 0.0000  1 Er 3.12, 2 Pm 3.17, 2 Ho 3.47, 2 Tb 3.49
Er: 0.5000 0.6870 0.0000  1 Er 3.12, 2 Pm 3.17, 2 Ho 3.47, 2 Tb 3.49
Er: 0.0000 0.3130 0.0000  1 Er 3.12, 2 Pm 3.17, 2 Ho 3.47, 2 Tb 3.49

Values from the calculation:
**V**: 340 Å³/cell
**DFT formation energy**: 0.411 eV/atom


(4)
Computed, not measured: crystalline Ti2Zn4Au at its relaxed geometry at the PBE level of DFT.

Unit cell a=9.8033 b=5.2801 c=5.1404 alpha=120.90 beta=90.00 gamma=90.00
With the nearest neighbours (Å) after each atom.
Positions (direct):
Ti: 0.0000 0.6789 0.3577  6 Zn 2.77-2.85, 3 Au 2.83-3.08, 2 Ti 2.92
Ti: 0.0000 0.3211 0.6423  6 Zn 2.77-2.85, 3 Au 2.83-3.08, 2 Ti 2.92
Ti: 0.5000 0.8211 0.6423  6 Zn 2.77-2.85, 3 Au 2.83-3.08, 2 Ti 2.92
Ti: 0.5000 0.1789 0.3577  6 Zn 2.77-2.85, 3 Au 2.83-3.08, 2 Ti 2.92
Zn: 0.7675 0.4992 0.0000  6 Zn 2.58-2.66, 1 Au 2.62, 2 Ti 2.77
Zn: 0.7500 0.4995 0.5000  6 Zn 2.58-2.64, 4 Ti 2.85
Zn: 0.7500 0.9995 0.5000  6 Zn 2.58-2.64, 4 Ti 2.85
Zn: 0.7325 0.9992 0.0000  6 Zn 2.58-2.66, 1 Au 2.62, 2 Ti 2.77
Zn: 0.2675 0.0008 0.0000  6 Zn 2.58-2.66, 1 Au 2.62, 2 Ti 2.77
Zn: 0.2500 0.0005 0.5000  6 Zn 2.58-2.64, 4 Ti 2.85
Zn: 0.2500 0.5005 0.5000  6 Zn 2.58-2.64, 4 Ti 2.85
Zn: 0.2325 0.5008 0.0000  6 Zn 2.58-2.66, 1 Au 2.62, 2 Ti 2.77
Au: 0.0000 0.0000 0.0000  2 Zn 2.62, 2 Ti 2.83
Au: 0.5000 0.5000 0.0000  2 Zn 2.62, 2 Ti 2.83

Values from the calculation:
**V**: 228 Å³/cell
**DFT formation energy**: 0.016 eV/atom


(5)
Computed, not measured: crystalline Fe2Co2H3 at its relaxed geometry at the PBE level of DFT.

Unit cell a=2.6168 b=4.4924 c=4.5291 alpha=100.70 beta=106.79 gamma=90.00
With the nearest neighbours (Å) after each atom.
Positions (direct):
Fe: 0.6215 0.8586 0.2429  5 H 1.87-1.91
Fe: 0.3785 0.1414 0.7571  5 H 1.87-1.91
Co: 0.8771 0.6277 0.7543  4 H 1.80-1.83
Co: 0.1229 0.3723 0.2457  4 H 1.80-1.83
H: 0.0000 0.0000 0.0000  2 Co 1.80, 4 Fe 1.87
H: 0.7467 0.2579 0.4934  3 Co 1.82-1.83, 3 Fe 1.88-1.91
H: 0.2533 0.7421 0.5066  3 Co 1.82-1.83, 3 Fe 1.88-1.91

Values from the calculation:
**V**: 50 Å³/cell
**Electronic total energy**: -5.89 eV/atom


(6)
Computed, not measured: crystalline AcCuAgPd3 at its relaxed geometry at the PBE level of DFT.

Unit cell a=5.8486 b=5.8179 c=7.6117 alpha=112.47 beta=90.00 gamma=90.00
With the nearest neighbours (Å) after each atom.
Positions (direct):
Ac: 0.7500 0.3365 0.6730  6 Pd 2.92-3.08, 1 Ag 2.95, 2 Cu 2.98
Ac: 0.2500 0.6635 0.3270  6 Pd 2.92-3.08, 1 Ag 2.95, 2 Cu 2.98
Cu: 0.2500 0.3758 0.7516  5 Pd 2.69-2.77, 2 Ag 2.91, 2 Ac 2.98
Cu: 0.7500 0.6242 0.2484  5 Pd 2.69-2.77, 2 Ag 2.91, 2 Ac 2.98
Ag: 0.2500 0.8732 0.7464  6 Pd 2.74-3.01, 2 Cu 2.91, 1 Ac 2.95
Ag: 0.7500 0.1268 0.2536  6 Pd 2.74-3.01, 2 Cu 2.91, 1 Ac 2.95
Pd: 0.2500 0.1787 0.3574  1 Cu 2.77, 2 Ac 2.92, 2 Ag 3.01
Pd: 0.0000 0.2528 0.0000  2 Cu 2.69, 2 Ag 2.74, 4 Pd 2.88-2.94
Pd: 0.5000 0.7472 0.0000  2 Cu 2.69, 2 Ag 2.74, 4 Pd 2.88-2.94
Pd: 0.5000 0.2528 0.0000  2 Cu 2.69, 2 Ag 2.74, 4 Pd 2.88-2.94
Pd: 0.0000 0.7472 0.0000  2 Cu 2.69, 2 Ag 2.74, 4 Pd 2.88-2.94
Pd: 0.7500 0.8213 0.6426  1 Cu 2.77, 2 Ac 2.92, 2 Ag 3.01

Values from the calculation:
**V**: 239 Å³/cell
**DFT formation energy**: -0.256 eV/atom


(7)
Computed, not measured: crystalline Tb4Dy3Au4 at its relaxed geometry at the PBE level of DFT.

Unit cell a=4.8680 b=7.6350 c=9.0972 alpha=114.81 beta=105.52 gamma=90.00
With the nearest neighbours (Å) after each atom.
Positions (direct):
Tb: 0.3274 0.1101 0.6547  4 Au 2.82-2.98
Tb: 0.6726 0.4553 0.3453  4 Au 2.82-2.98
Tb: 0.6726 0.8899 0.3453  4 Au 2.82-2.98
Tb: 0.3274 0.5447 0.6547  4 Au 2.82-2.98
Dy: 0.1013 0.1013 0.2025  1 Dy 3.20, 4 Au 3.25, 4 Tb 3.44
Dy: 0.8987 0.8987 0.7975  1 Dy 3.20, 4 Au 3.25, 4 Tb 3.44
Dy: 0.0000 0.5000 0.0000  6 Au 3.18-3.40
Au: 0.2016 0.7016 0.4031  6 Tb 2.93-2.98, 1 Dy 3.18
Au: 0.7984 0.2984 0.5969  6 Tb 2.93-2.98, 1 Dy 3.18
Au: 0.5000 0.8112 0.0000  2 Tb 2.82, 1 Au 2.88
Au: 0.5000 0.1888 0.0000  2 Tb 2.82, 1 Au 2.88

Values from the calculation:
**V**: 293 Å³/cell
**DFT formation energy**: -0.542 eV/atom


(8)
Computed, not measured: crystalline Sr2PaMnSe5 at its relaxed geometry at the PBE level of DFT.

Unit cell a=4.2287 b=9.3215 c=12.9775 alpha=90.00 beta=90.00 gamma=103.11
With the nearest neighbours (Å) after each atom.
Positions (direct):
Sr: 0.8822 0.7644 0.8247  7 Se 3.08-3.43
Sr: 0.1093 0.2186 0.6851  6 Se 3.11-3.41
Sr: 0.1178 0.2356 0.3247  7 Se 3.08-3.43
Sr: 0.8907 0.7814 0.1851  6 Se 3.11-3.41
Pa: 0.7981 0.5962 0.5192  6 Se 2.80-2.89
Pa: 0.2019 0.4038 0.0192  6 Se 2.80-2.89
Mn: 0.5630 0.1260 0.9384  4 Se 2.46-2.58
Mn: 0.4370 0.8740 0.4384  4 Se 2.46-2.58
Se: 0.3561 0.7122 0.0076  1 Pa 2.80
Se: 0.6960 0.3919 0.8674  1 Mn 2.58, 2 Pa 2.89
Se: 0.4998 0.9995 0.7712  1 Mn 2.46
Se: 0.2923 0.5847 0.6681  2 Pa 2.87
Se: 0.9515 0.9030 0.5423  2 Mn 2.52, 1 Pa 2.80
Se: 0.6439 0.2878 0.5076  1 Pa 2.80
Se: 0.3040 0.6081 0.3674  1 Mn 2.58, 2 Pa 2.89
Se: 0.5002 0.0005 0.2712  1 Mn 2.46
Se: 0.7077 0.4153 0.1681  2 Pa 2.87
Se: 0.0485 0.0970 0.0423  2 Mn 2.52, 1 Pa 2.80

Values from the calculation:
**Formation energy without anion corrections**: -141.2 kJ per mole of atoms
**V**: 498 Å³/cell